Computed, not measured: crystalline Ho2Ge4Mo3 at its relaxed geometry at the PBE level of DFT.

Geometry as POSCAR:
```
Ho2Ge4Mo3
1.0
6.9020 -0.0219 0.0000
-2.2881 6.5977 0.0000
0.0000 0.0000 7.0462
Mo Ho Ge
6 4 8
Cartesian
4.5902 1.6233 5.9335
3.4747 4.9416 2.4104
1.1392 1.6342 4.6357
2.3069 3.2879 0.0000
-1.1440 3.2988 3.5231
0.0237 4.9525 1.1126
3.4039 1.2448 2.3113
1.2100 5.3311 4.7349
4.6610 5.3201 5.8344
-0.0471 1.2557 1.2118
5.7120 0.5853 3.8503
2.3529 5.9796 0.3272
-1.0981 5.9906 3.1959
1.3826 3.3171 2.5592
-0.2197 3.2696 6.0823
4.8336 3.3062 0.9639
2.2610 0.5962 6.7190
3.2313 3.2587 4.4870
```

## Properties
DOS(E_F): 0.49 states/eV/atom
symmetry: P2_1/c
energy of formation from the pure elements: -0.537 eV/atom